[1]
Here is LiHoSi2Pd after structural relaxation from Alexandria via LeMat-Bulk. Energies are from PBE-GGA.

```
LiHoSi2Pd
1.0
-1.9874 1.9874 5.2972
1.9874 -1.9874 5.2972
1.9874 1.9874 -5.2972
Li Ho Si Pd
1 1 2 1
Direct
0.0000 0.0000 0.0000
0.7500 0.2500 0.5000
0.1406 0.6406 0.5000
0.3594 0.8594 0.5000
0.5000 0.5000 0.0000
```

Computed properties:
VASP energy = -5.279 eV per atom
E_form (uncorrected) = -3.87 eV per formula unit
spin magnetization = 0.0 Bohr magnetons per cell
calculated density = 6.6 g/cm3

***

[2]
Here is Tm2SbS after structural relaxation from Alexandria via LeMat-Bulk. Energies are from PBE-GGA.

```
Tm2SbS
1.0
5.8315 0.0000 0.0000
0.0000 4.3326 0.0000
0.0000 0.0000 17.0973
Tm Sb S
8 4 4
Direct
0.2494 0.2500 0.1736
0.2504 0.2500 0.9290
0.2496 0.7500 0.4290
0.2506 0.7500 0.6736
0.7494 0.2500 0.3264
0.7504 0.2500 0.5710
0.7496 0.7500 0.0710
0.7506 0.7500 0.8264
0.2504 0.2500 0.5573
0.2496 0.7500 0.0573
0.7504 0.2500 0.9427
0.7496 0.7500 0.4427
0.2494 0.2500 0.3271
0.2506 0.7500 0.8271
0.7494 0.2500 0.1729
0.7506 0.7500 0.6729
```

Computed properties:
VASP energy = -5.626 eV per atom
E_form (uncorrected) = -5.31 eV per formula unit
spin magnetization = 0.0 Bohr magnetons per cell
calculated density = 7.6 g/cm3

***

[3]
Here is ReOs after structural relaxation from Alexandria via LeMat-Bulk. Energies are from PBE-GGA.

```
ReOs
1.0
3.2646 0.0000 0.0000
0.0000 3.2646 0.0000
0.0000 0.0000 5.6419
Re Os
2 2
Direct
0.2500 0.2500 0.1324
0.7500 0.7500 0.8676
0.2500 0.2500 0.6159
0.7500 0.7500 0.3841
```

Computed properties:
VASP energy = -11.324 eV per atom
calculated formation energy = 1.0 eV/f.u.
spin magnetization = 0.7 Bohr magnetons per cell
calculated density = 20.8 g/cm3

***

[4]
Here is HfInTeI2 after structural relaxation from Alexandria via LeMat-Bulk. Energies are from PBE-GGA.

```
HfInTeI2
1.0
6.0975 0.0000 0.0000
0.0000 6.0975 0.0000
0.0000 0.0000 5.6191
Hf In Te I
1 1 1 2
Direct
0.0000 0.0000 0.0000
0.5000 0.5000 0.5000
0.0000 0.0000 0.5000
0.0000 0.5000 0.0000
0.5000 0.0000 0.0000
```

Computed properties:
VASP energy = -4.072 eV per atom
E_form (uncorrected) = -1.43 eV per formula unit
spin magnetization = 0.0 Bohr magnetons per cell
calculated density = 5.4 g/cm3

***

[5]
Here is CaAl12Cu6 after structural relaxation from Alexandria via LeMat-Bulk. Energies are from PBE-GGA.

```
CaAl12Cu6
1.0
5.6587 3.2670 2.8435
-5.6587 3.2670 2.8435
0.0000 -6.5340 2.8435
Ca Al Cu
1 12 6
Direct
0.0000 0.0000 0.0000
0.1190 0.5000 0.8810
0.1190 0.8810 0.5000
0.1594 0.4158 0.4158
0.4158 0.1594 0.4158
0.4158 0.4158 0.1594
0.5000 0.1190 0.8810
0.5000 0.8810 0.1190
0.5842 0.5842 0.8406
0.5842 0.8406 0.5842
0.8406 0.5842 0.5842
0.8810 0.1190 0.5000
0.8810 0.5000 0.1190
0.2639 0.2639 0.7065
0.2639 0.7065 0.2639
0.2935 0.7361 0.7361
0.7065 0.2639 0.2639
0.7361 0.2935 0.7361
0.7361 0.7361 0.2935
```

Computed properties:
VASP energy = -3.875 eV per atom
calculated formation energy = -2.1 eV/f.u.
spin magnetization = 0.0 Bohr magnetons per cell
calculated density = 3.9 g/cm3

***

[6]
Here is K2ScPt after structural relaxation from Alexandria via LeMat-Bulk. Energies are from PBE-GGA.

```
K2ScPt
1.0
-1.8486 3.1370 6.4294
1.8486 -3.1370 6.4294
1.8486 3.1370 -6.4294
K Sc Pt
2 1 1
Direct
0.0000 0.0000 0.0000
0.6801 0.1801 0.5000
0.3532 0.3532 0.0000
0.2240 0.7240 0.5000
```

Computed properties:
VASP energy = -3.690 eV per atom
calculated formation energy = -0.2 eV/f.u.
spin magnetization = 0.0 Bohr magnetons per cell
calculated density = 3.5 g/cm3

***

[7]
Here is Ba4MgTa after structural relaxation from Alexandria via LeMat-Bulk. Energies are from PBE-GGA.

```
Ba4MgTa
1.0
0.0000 5.0765 5.0765
5.0765 0.0000 5.0765
5.0765 5.0765 0.0000
Ba Mg Ta
4 1 1
Direct
0.3758 0.3758 0.3758
0.3758 0.3758 0.8727
0.3758 0.8727 0.3758
0.8727 0.3758 0.3758
0.0000 0.0000 0.0000
0.7500 0.7500 0.7500
```

Computed properties:
VASP energy = -2.446 eV per atom
calculated formation energy = 6.5 eV/f.u.
spin magnetization = 4.4 Bohr magnetons per cell
calculated density = 4.8 g/cm3

***

[8]
Here is InPPt2 after structural relaxation from Alexandria via LeMat-Bulk. Energies are from PBE-GGA.

```
InPPt2
1.0
3.1326 0.0000 0.0000
0.0000 3.1519 0.0000
0.0000 0.0000 6.7191
In P Pt
1 1 2
Direct
0.0000 0.0000 0.0000
0.0000 0.0000 0.5000
0.5000 0.5000 0.2857
0.5000 0.5000 0.7143
```

Computed properties:
VASP energy = -5.203 eV per atom
calculated formation energy = -0.6 eV/f.u.
spin magnetization = 0.0 Bohr magnetons per cell
calculated density = 13.4 g/cm3

***

Q: Which value of spin magnetization does entry 2 give?
A: 0.0 Bohr magnetons per cell

***

Q: What is the spin magnetization in the third record?
A: 0.7 Bohr magnetons per cell

***

Q: spin magnetization of number 2 (Tm2SbS)?
A: 0.0 Bohr magnetons per cell

***

Q: What is the calculated density in the fourth record?
A: 5.4 g/cm3